[1]
## ReAgSe2 (PBE)

Data for ReAgSe2 after structural relaxation.

Lattice parameters (Å, degrees): 3.0998 6.7446 4.0765 90.00 90.00 90.00
Last column: nearest neighbours and their distance in Å.
Fractional positions:
1 Ag 0.5000 0.0000 0.5000  4 Se 2.56
2 Re 0.0000 0.5000 0.5000  4 Se 2.56
3 Se 0.0000 0.0000 0.0000  4 Ag 2.56
4 Se 0.5000 0.5000 0.0000  4 Re 2.56

density of states at the Fermi level	3.112	states/eV/cell
formation energy from raw total energies	0.871	eV per atom


[2]
## ReAgSe2 (PBE)

Data for ReAgSe2 after structural relaxation.

Lattice parameters (Å, degrees): 5.8541 5.8541 7.0951 65.64 65.64 90.00
Last column: nearest neighbours and their distance in Å.
Fractional positions:
1 Re 0.0000 0.0000 0.0000  4 Se 2.40
2 Re 0.7500 0.2500 0.5000  4 Se 2.40
3 Se 0.6644 0.1250 0.2500  2 Re 2.40, 2 Ag 2.66
4 Se 0.0856 0.6250 0.2500  2 Re 2.40, 2 Ag 2.66
5 Se 0.3750 0.3356 0.7500  2 Re 2.40, 2 Ag 2.66
6 Se 0.8750 0.9144 0.7500  2 Re 2.40, 2 Ag 2.66
7 Ag 0.5000 0.5000 0.0000  4 Se 2.66
8 Ag 0.2500 0.7500 0.5000  4 Se 2.66

density of states at the Fermi level	5.164	states/eV/cell
formation energy from raw total energies	0.296	eV per atom


[3]
## ReAgSe (PBE)

Data for ReAgSe after structural relaxation.

Lattice parameters (Å, degrees): 3.0537 3.0537 6.9389 90.00 90.00 120.00
Last column: nearest neighbours and their distance in Å.
Fractional positions:
1 Ag 0.0000 0.0000 0.0295  3 Re 2.91, 6 Ag 3.05
2 Re 0.6667 0.3333 0.3631  3 Se 2.45
3 Se 0.3333 0.6667 0.6074  3 Re 2.45

density of states at the Fermi level	1.569	states/eV/cell
formation energy from raw total energies	0.305	eV per atom


[4]
## ReAgSe2 (PBE)

Data for ReAgSe2 after structural relaxation.

Lattice parameters (Å, degrees): 4.5779 4.5779 4.5779 60.00 60.00 60.00
Last column: nearest neighbours and their distance in Å.
Fractional positions:
1 Re 0.5000 0.5000 0.5000  8 Se 2.80
2 Se 0.2500 0.2500 0.2500  4 Re 2.80, 4 Ag 2.80
3 Se 0.7500 0.7500 0.7500  4 Re 2.80, 4 Ag 2.80
4 Ag 0.0000 0.0000 0.0000  8 Se 2.80

density of states at the Fermi level	1.020	states/eV/cell
formation energy from raw total energies	0.531	eV per atom